[1]
NbHgP2O: relaxed, GGA-PBE.

a b c (Å): 4.888 4.888 4.003
angles (deg): 90.00 90.00 90.00
Space group P4/mmm (No. 123)
Unique sites:
Nb 0.000 0.000 0.000 [1 per cell]
Hg 0.500 0.500 0.500 [1 per cell]
P 0.000 0.500 0.500 [2 per cell]
O 0.500 0.500 0.000 [1 per cell]

Computed properties:
* density: 6.45 g/cm3
* E_tot: -20.4 eV/f.u.
* crystal system: tetragonal
* energy above the lowest structure with this stoichiometry: 1468 meV per atom
* M_tot: 0.00 μB per formula unit
* energy relative to the elements, uncorrected: 1145 meV per atom
* N(E_F): 4.8 states/eV/f.u.

=====

[2]
NbHgPO2: relaxed, GGA-PBE.

a b c (Å): 4.083 4.083 5.070
angles (deg): 90.00 90.00 90.00
Space group P4/mmm (No. 123)
Unique sites:
Nb 0.000 0.000 0.000 [1 per cell]
Hg 0.500 0.500 0.500 [1 per cell]
P 0.500 0.500 0.000 [1 per cell]
O 0.000 0.500 0.500 [2 per cell]

Computed properties:
* density: 7.00 g/cm3
* E_tot: -22.1 eV/f.u.
* crystal system: tetragonal
* energy above the lowest structure with this stoichiometry: 1948 meV per atom
* M_tot: 1.44 μB per formula unit
* energy relative to the elements, uncorrected: 718 meV per atom
* N(E_F): 4.8 states/eV/f.u.

=====

[3]
NbHgPO2: relaxed, GGA-PBE.

a b c (Å): 3.927 3.927 5.417
angles (deg): 90.00 90.00 90.00
Space group P4/mmm (No. 123)
Unique sites:
Nb 0.000 0.000 0.000 [1 per cell]
Hg 0.500 0.500 0.500 [1 per cell]
P 0.000 0.000 0.500 [1 per cell]
O 0.000 0.500 0.000 [2 per cell]

Computed properties:
* density: 7.09 g/cm3
* E_tot: -31.8 eV/f.u.
* crystal system: tetragonal
* energy above the lowest structure with this stoichiometry: 0 meV per atom
* M_tot: 0.00 μB per formula unit
* energy relative to the elements, uncorrected: -1229 meV per atom
* N(E_F): 1.4 states/eV/f.u.

=====

[4]
Nb2HgPbO7: relaxed, GGA-PBE.

a b c (Å): 4.002 4.002 20.803
angles (deg): 90.00 90.00 90.00
Space group I-4m2 (No. 119)
Unique sites:
Nb 0.000 0.000 0.103 [4 per cell]
Hg 0.000 0.500 0.750 [2 per cell]
Pb 0.000 0.000 0.500 [2 per cell]
O 0.000 0.000 0.000 [2 per cell]
O 0.000 0.000 0.196 [4 per cell]
O 0.000 0.500 0.092 [4 per cell]
O 0.000 0.500 0.597 [4 per cell]

Computed properties:
* density: 7.04 g/cm3
* E_tot: -79.4 eV/f.u.
* crystal system: tetragonal
* M_tot: 0.00 μB per formula unit
* energy relative to the elements, uncorrected: -1872 meV per atom

=====

[5]
PrNb2HgO7: relaxed, GGA-PBE.

a b c (Å): 3.933 3.933 22.664
angles (deg): 90.00 90.00 90.00
Space group I-4m2 (No. 119)
Unique sites:
Pr 0.000 0.000 0.000 [2 per cell]
Nb 0.000 0.000 0.401 [4 per cell]
Hg 0.000 0.500 0.250 [2 per cell]
O 0.000 0.000 0.320 [4 per cell]
O 0.000 0.000 0.500 [2 per cell]
O 0.000 0.500 0.081 [4 per cell]
O 0.000 0.500 0.579 [4 per cell]

Computed properties:
* density: 6.06 g/cm3
* E_tot: -85.9 eV/f.u.
* crystal system: tetragonal
* M_tot: 0.00 μB per formula unit
* energy relative to the elements, uncorrected: -2363 meV per atom
* N(E_F): 2.3 states/eV/f.u.

=====

[6]
PuNbHgO6: relaxed, GGA-PBE.

a b c (Å): 5.5923 5.5923 9.7121
angles (deg): 90.00 90.00 120.00
Space group P-31c (No. 163)
Unique sites:
Pu 0.3333 0.6667 0.2500 [2 per cell]
Nb 0.3333 0.6667 0.7500 [2 per cell]
Hg 0.0000 0.0000 0.0000 [2 per cell]
O 0.0142 0.3721 0.6396 [12 per cell]

Computed properties:
* density: 8.00 g/cm3
* E_tot: -72.9 eV/f.u.
* crystal system: trigonal
* M_tot: 3.00 μB per formula unit
* energy relative to the elements, uncorrected: -2048 meV per atom
* N(E_F): 8.4 states/eV/f.u.

=====

[7]
RbNbHgO4: relaxed, GGA-PBE.

a b c (Å): 6.076 6.709 7.616
angles (deg): 90.00 106.03 90.00
Space group P2_1/m (No. 11)
Unique sites:
Rb 0.210 0.250 0.447 [2 per cell]
Nb 0.233 0.750 0.170 [2 per cell]
Hg 0.374 0.250 0.014 [2 per cell]
O 0.010 0.250 0.046 [2 per cell]
O 0.130 0.750 0.373 [2 per cell]
O 0.447 0.534 0.186 [4 per cell]

Computed properties:
* density: 4.93 g/cm3
* E_tot: -42.9 eV/f.u.
* crystal system: monoclinic
* M_tot: 0.00 μB per formula unit
* energy relative to the elements, uncorrected: -1669 meV per atom
* N(E_F): 0.0 states/eV/f.u.

=====

[8]
Rb2NbHgO: relaxed, GGA-PBE.

a b c (Å): 7.075 7.075 4.161
angles (deg): 90.00 90.00 90.00
Space group P4/mmm (No. 123)
Unique sites:
Rb 0.000 0.500 0.000 [2 per cell]
Nb 0.000 0.000 0.500 [1 per cell]
Hg 0.500 0.500 0.000 [1 per cell]
O 0.500 0.500 0.500 [1 per cell]

Computed properties:
* density: 3.83 g/cm3
* E_tot: -13.4 eV/f.u.
* crystal system: tetragonal
* M_tot: 4.82 μB per formula unit
* energy relative to the elements, uncorrected: 766 meV per atom
* N(E_F): 4.1 states/eV/f.u.

=====

[9]
Rb2NbHgO4: relaxed, GGA-PBE.

a b c (Å): 6.722 6.722 7.902
angles (deg): 90.00 90.00 90.00
Space group I-4 (No. 82)
Unique sites:
Rb 0.000 0.000 0.000 [2 per cell]
Rb 0.000 0.500 0.250 [2 per cell]
Nb 0.000 0.000 0.500 [2 per cell]
Hg 0.000 0.500 0.750 [2 per cell]
O 0.150 0.825 0.636 [8 per cell]

Computed properties:
* density: 4.92 g/cm3
* E_tot: -45.8 eV/f.u.
* crystal system: tetragonal
* M_tot: 0.39 μB per formula unit
* energy relative to the elements, uncorrected: -1707 meV per atom
* N(E_F): 4.7 states/eV/f.u.

=====

[10]
NbReHgO2: relaxed, GGA-PBE.

a b c (Å): 3.964 3.964 5.973
angles (deg): 90.00 90.00 90.00
Space group P4/mmm (No. 123)
Unique sites:
Nb 0.000 0.000 0.000 [1 per cell]
Re 0.500 0.500 0.000 [1 per cell]
Hg 0.000 0.000 0.500 [1 per cell]
O 0.000 0.500 0.500 [2 per cell]

Computed properties:
* density: 9.05 g/cm3
* E_tot: -25.0 eV/f.u.
* crystal system: tetragonal
* M_tot: 1.21 μB per formula unit
* energy relative to the elements, uncorrected: 1556 meV per atom
* N(E_F): 4.4 states/eV/f.u.

=====

[11]
NbHgSbO6: relaxed, GGA-PBE.

a b c (Å): 7.425 7.478 10.582
angles (deg): 90.00 90.00 90.00
Space group Imma (No. 74)
Unique sites:
Nb 0.250 0.250 0.250 [4 per cell]
Hg 0.000 0.250 0.717 [4 per cell]
Sb 0.000 0.000 0.000 [4 per cell]
O 0.000 0.250 0.311 [4 per cell]
O 0.000 0.250 0.925 [4 per cell]
O 0.189 0.053 0.126 [16 per cell]

Computed properties:
* density: 5.78 g/cm3
* E_tot: -56.4 eV/f.u.
* crystal system: orthorhombic
* M_tot: 0.00 μB per formula unit
* energy relative to the elements, uncorrected: -1347 meV per atom
* N(E_F): 4.8 states/eV/f.u.

=====

[12]
NbHgSe2O8: relaxed, GGA-PBE.

a b c (Å): 7.396 6.648 6.985
angles (deg): 90.00 91.27 90.00
Space group C2/m (No. 12)
Unique sites:
Nb 0.000 0.000 0.000 [2 per cell]
Hg 0.000 0.000 0.500 [2 per cell]
Se 0.075 0.500 0.237 [4 per cell]
O 0.040 0.200 0.210 [8 per cell]
O 0.196 0.500 0.445 [4 per cell]
O 0.225 0.500 0.050 [4 per cell]

Computed properties:
* density: 5.60 g/cm3
* E_tot: -69.3 eV/f.u.
* crystal system: monoclinic
* M_tot: 0.74 μB per formula unit
* energy relative to the elements, uncorrected: -1021 meV per atom
* N(E_F): 4.4 states/eV/f.u.